[1]
# K4CO4 | Alexandria | GGA-PBE | relaxed
# Polymorph energy (0 for the lowest one), meV per atom: 123.5
data_K4CO4
_chemical_formula_sum 'K12 C3 O12'
_cell_length_a 7.5680
_cell_length_b 7.5680
_cell_length_c 9.6631
_cell_angle_alpha 90.00
_cell_angle_beta 90.00
_cell_angle_gamma 120.00
_space_group_name_H-M_alt 'R 3 m'
_space_group_IT_number 160
_space_group_name_Hall 'R 3 -2"'
loop_
_atom_site_label
_atom_site_fract_x
_atom_site_fract_y
_atom_site_fract_z
K1 0.0000 0.0000 0.0000
K2 0.1853 0.3706 0.3804
C1 0.0000 0.0000 0.2734
O1 0.0000 0.0000 0.4234
O2 0.2088 0.1044 0.2237



[2]
# K3SbPCO7 | Alexandria | GGA-PBE | relaxed
# Raw total energy, eV/atom: -6.16
data_K3SbPCO7
_chemical_formula_sum 'K6 Sb2 P2 C2 O14'
_cell_length_a 6.355
_cell_length_b 7.086
_cell_length_c 10.460
_cell_angle_alpha 90.00
_cell_angle_beta 105.96
_cell_angle_gamma 90.00
_space_group_name_H-M_alt 'P 1 21/m 1'
_space_group_IT_number 11
loop_
_space_group_symop_operation_xyz
'x,y,z'
'-x,-y,-z'
'-x,y+1/2,-z'
'x,-y+1/2,z'
loop_
_atom_site_label
_atom_site_fract_x
_atom_site_fract_y
_atom_site_fract_z
K1 0.206 0.250 0.057
K2 0.220 0.514 0.687
Sb1 0.278 0.750 0.312
P1 0.313 0.250 0.386
C1 0.377 0.750 0.043
O1 0.175 0.250 0.485
O2 0.202 0.750 0.093
O3 0.257 0.073 0.291
O4 0.340 0.750 0.917
O5 0.431 0.250 0.874
O6 0.433 0.750 0.547



[3]
# K2TbPCO7 | Alexandria | GGA-PBE | relaxed
# Raw total energy, eV/atom: -7.06
data_K2TbPCO7
_chemical_formula_sum 'K4 Tb2 P2 C2 O14'
_cell_length_a 5.780
_cell_length_b 7.162
_cell_length_c 10.097
_cell_angle_alpha 90.00
_cell_angle_beta 90.41
_cell_angle_gamma 90.00
_space_group_name_H-M_alt 'P 1 21/m 1'
_space_group_IT_number 11
loop_
_space_group_symop_operation_xyz
'x,y,z'
'-x,-y,-z'
'-x,y+1/2,-z'
'x,-y+1/2,z'
loop_
_atom_site_label
_atom_site_fract_x
_atom_site_fract_y
_atom_site_fract_z
K1 0.243 0.015 0.286
Tb1 0.294 0.250 0.879
P1 0.214 0.750 0.934
C1 0.242 0.250 0.605
O1 0.057 0.250 0.057
O2 0.069 0.250 0.691
O3 0.209 0.250 0.482
O4 0.295 0.571 0.861
O5 0.320 0.750 0.077
O6 0.449 0.250 0.661



[4]
# K2TiPCO7 | Alexandria | GGA-PBE | relaxed
# Raw total energy, eV/atom: -7.11
data_K2TiPCO7
_chemical_formula_sum 'K4 Ti2 P2 C2 O14'
_cell_length_a 5.731
_cell_length_b 6.864
_cell_length_c 9.786
_cell_angle_alpha 90.00
_cell_angle_beta 91.51
_cell_angle_gamma 90.00
_space_group_name_H-M_alt 'P 1 21/m 1'
_space_group_IT_number 11
loop_
_space_group_symop_operation_xyz
'x,y,z'
'-x,-y,-z'
'-x,y+1/2,-z'
'x,-y+1/2,z'
loop_
_atom_site_label
_atom_site_fract_x
_atom_site_fract_y
_atom_site_fract_z
K1 0.249 0.018 0.274
Ti1 0.217 0.250 0.870
P1 0.266 0.750 0.939
C1 0.264 0.250 0.611
O1 0.060 0.250 0.670
O2 0.112 0.750 0.069
O3 0.217 0.564 0.854
O4 0.293 0.250 0.484
O5 0.439 0.250 0.702
O6 0.471 0.250 0.011



[5]
# K3TlPCO7 | Alexandria | GGA-PBE | relaxed
# Raw total energy, eV/atom: -6.03
data_K3TlPCO7
_chemical_formula_sum 'K6 Tl2 P2 C2 O14'
_cell_length_a 5.765
_cell_length_b 7.453
_cell_length_c 10.173
_cell_angle_alpha 90.00
_cell_angle_beta 91.17
_cell_angle_gamma 90.00
_space_group_name_H-M_alt 'P 1 21/m 1'
_space_group_IT_number 11
loop_
_space_group_symop_operation_xyz
'x,y,z'
'-x,-y,-z'
'-x,y+1/2,-z'
'x,-y+1/2,z'
loop_
_atom_site_label
_atom_site_fract_x
_atom_site_fract_y
_atom_site_fract_z
K1 0.241 0.250 0.421
K2 0.254 0.001 0.755
Tl1 0.229 0.750 0.123
P1 0.284 0.250 0.090
C1 0.254 0.750 0.429
O1 0.053 0.750 0.366
O2 0.188 0.250 0.946
O3 0.201 0.084 0.171
O4 0.261 0.750 0.557
O5 0.444 0.750 0.913
O6 0.447 0.750 0.363



[6]
# K2TmPCO7 | Alexandria | GGA-PBE | relaxed
# Raw total energy, eV/atom: -7.07
data_K2TmPCO7
_chemical_formula_sum 'K4 Tm2 P2 C2 O14'
_cell_length_a 5.785
_cell_length_b 7.061
_cell_length_c 10.052
_cell_angle_alpha 90.00
_cell_angle_beta 90.27
_cell_angle_gamma 90.00
_space_group_name_H-M_alt 'P 1 21/m 1'
_space_group_IT_number 11
loop_
_space_group_symop_operation_xyz
'x,y,z'
'-x,-y,-z'
'-x,y+1/2,-z'
'x,-y+1/2,z'
loop_
_atom_site_label
_atom_site_fract_x
_atom_site_fract_y
_atom_site_fract_z
K1 0.246 0.015 0.217
Tm1 0.290 0.250 0.626
P1 0.219 0.750 0.565
C1 0.240 0.250 0.895
O1 0.050 0.250 0.456
O2 0.065 0.250 0.808
O3 0.208 0.250 0.018
O4 0.291 0.568 0.641
O5 0.340 0.750 0.426
O6 0.445 0.250 0.839



Magnetization
In order: 0.2 1.0 0.0 1.0 0.0 0.0
Unit: μB/f.u.
V
In order: 479.3 452.9 418.0 384.8 437.0 410.7
Unit: Å³/cell